No. 1
Entry from Alexandria via LeMat-Bulk: an optimized crystal structure of Nb12AlSn3 (GGA-PBE).

The value obtained for the energy of formation is -0.19 eV per atom. As for the density of states at the Fermi level: 1.67 states/eV per atom. The total magnetic moment comes out at 0.0 Bohr magnetons per cell.

It has space group Pmmm (No. 47), with a = 5.3028 Å, b = 5.3138 Å, c = 10.5648 Å, α = 90.00°, β = 90.00° and γ = 90.00°. The distinct sites, in fractional coordinates, are Nb at (0.0000, 0.0000, 0.1214), Nb at (0.0000, 0.0000, 0.3736), Nb at (0.2492, 0.5000, 0.5000), Nb at (0.2608, 0.5000, 0.0000), Nb at (0.5000, 0.2472, 0.2433), Al at (0.5000, 0.0000, 0.0000), Sn at (0.0000, 0.5000, 0.2500) and Sn at (0.5000, 0.0000, 0.5000).

***

No. 2
Entry from Alexandria via LeMat-Bulk: an optimized crystal structure of Nb2AlSn (GGA-PBE).

The energy relative to the lowest polymorph listed for this composition is 0.108 eV per atom. The value obtained for the energy of formation is 0.02 eV per atom. As for the density of states at the Fermi level: 0.79 states/eV per atom. The total magnetic moment comes out at 0.0 Bohr magnetons per cell.

It has space group R-3m (No. 166, hexagonal axes), with a = 3.0488 Å, b = 3.0488 Å, c = 28.3634 Å, α = 90.00°, β = 90.00° and γ = 120.00°. The distinct sites, in fractional coordinates, are Nb at (0.0000, 0.0000, 0.2474), Al at (0.0000, 0.0000, 0.5000) and Sn at (0.0000, 0.0000, 0.0000).